(1)
First-principles (PBE) data for a relaxed Ac2TmGa3Au4 crystal, as listed in the Alexandria database.

a b c (Å): 4.5409 4.5409 11.5130
angles (deg): 90.00 90.00 90.00
Closest atoms and distances in Å follow each position.
Space group P-4m2 (No. 115)
Unique sites:
1 Ac 0.0000 0.5000 0.2261  4 Ga 3.43, 8 Au 3.45-3.51
2 Tm 0.0000 0.0000 0.5000  4 Au 2.86
3 Ga 0.0000 0.5000 0.8778  5 Au 2.61-2.67
4 Ga 0.5000 0.5000 0.5000  4 Au 2.86
5 Au 0.0000 0.0000 0.0000  4 Ga 2.67
6 Au 0.0000 0.5000 0.6514  3 Ga 2.61-2.86, 2 Tm 2.86
7 Au 0.5000 0.5000 0.0000  4 Ga 2.67

Values from the calculation:
- ΔE_f: -0.70 eV per atom
- Fermi-level density of states: 6.81 states/eV per cell

---

(2)
First-principles (PBE) data for a relaxed AcYGa2Au5 crystal, as listed in the Alexandria database.

a b c (Å): 4.8615 4.8615 8.5576
angles (deg): 90.00 90.00 90.00
Closest atoms and distances in Å follow each position.
Space group P4/mmm (No. 123)
Unique sites:
1 Ac 0.0000 0.0000 0.0000  12 Au 3.28-3.44
2 Y 0.0000 0.0000 0.5000  8 Au 3.19
3 Ga 0.5000 0.5000 0.3520  1 Ga 2.53, 4 Au 2.56
4 Au 0.0000 0.5000 0.2581  2 Ga 2.56
5 Au 0.5000 0.5000 0.0000  2 Ga 3.01, 8 Au 3.28

Values from the calculation:
- ΔE_f: -0.52 eV per atom
- Fermi-level density of states: 3.96 states/eV per cell

---

(3)
First-principles (PBE) data for a relaxed AcYGaAu crystal, as listed in the Alexandria database.

a b c (Å): 7.5752 7.5752 7.5752
angles (deg): 90.00 90.00 90.00
Closest atoms and distances in Å follow each position.
Space group F-43m (No. 216)
Unique sites:
1 Ac 0.0000 0.0000 0.0000  4 Au 3.28, 4 Ga 3.28
2 Y 0.0000 0.0000 0.5000  4 Ga 3.28, 4 Au 3.28
3 Ga 0.2500 0.2500 0.7500  4 Ac 3.28, 4 Y 3.28
4 Au 0.2500 0.2500 0.2500  4 Ac 3.28, 4 Y 3.28

Values from the calculation:
- ΔE_f: -0.60 eV per atom
- Fermi-level density of states: 12.05 states/eV per cell